[1]
A relaxed TlCdAs crystal. Source: the Alexandria database, functional PBE.

Summary:
- ΔE_f (eV per formula unit) = -0.19
- E (eV per atom) = -2.7064

POSCAR file:
```
TlCdAs
1.0
4.553 0.000 0.000
0.000 4.543 0.000
-0.801 0.000 7.843
Tl Cd As
2 2 2
Cartesian
0.949 1.136 1.082
2.802 3.407 6.762
0.737 3.407 3.907
3.015 1.136 3.936
0.725 1.136 5.621
3.027 3.407 2.222
```

[2]
A relaxed Tl2CdAs crystal. Source: the Alexandria database, functional PBE.

Summary:
- ΔE_f (eV per formula unit) = 0.21
- offset from the most stable computed form (meV/atom) = 0
- E (eV per atom) = -2.5222

POSCAR file:
```
Tl2CdAs
1.0
4.613 -2.164 0.000
4.613 2.164 0.000
-2.596 0.000 5.873
Tl Cd As
2 1 1
Cartesian
0.000 0.000 0.000
0.115 0.000 3.923
3.092 0.000 2.064
6.020 0.000 1.946
```